Here is a geometry-optimized KCrFe2 structure from the Alexandria database. Energies are from GGA-PBE.

Values from the calculation:
* energy of formation from the pure elements: 314 kJ/mol of formula units
* energy above the most stable polymorph in this dataset: 73 meV per atom
* symmetry: C2/m (12)

a = 4.5276 Å, b = 4.5276 Å, c = 6.9137 Å
α = 95.62°, β = 95.62°, γ = 37.22°
With the nearest neighbours (Å) after each atom.
Fractional coordinates of all 4 atoms:
1 K 0.0000 0.0000 0.0000  2 K 2.89
2 Cr 0.5000 0.5000 0.5000  6 Fe 2.49-2.56
3 Fe 0.2266 0.2266 0.6189  2 Fe 2.26, 2 Cr 2.49
4 Fe 0.7734 0.7734 0.3811  2 Fe 2.26, 2 Cr 2.49



Here is a geometry-optimized KCrFe2 structure from the Alexandria database. Energies are from GGA-PBE.

Values from the calculation:
* energy of formation from the pure elements: 329 kJ/mol of formula units
* energy above the most stable polymorph in this dataset: 110 meV per atom
* symmetry: Cm (8)

a = 4.6126 Å, b = 4.6126 Å, c = 6.6981 Å
α = 99.12°, β = 99.12°, γ = 36.13°
With the nearest neighbours (Å) after each atom.
Fractional coordinates of all 4 atoms:
1 K 0.0000 0.0000 0.0000  2 K 2.86
2 Cr 0.7918 0.7918 0.3987  4 Fe 2.36-2.41
3 Fe 0.2114 0.2114 0.6418  2 Fe 2.33, 2 Cr 2.36
4 Fe 0.5126 0.5126 0.5013  2 Fe 2.33, 2 Cr 2.41



Here is a geometry-optimized KCr4Fe structure from the Alexandria database. Energies are from GGA-PBE.

Values from the calculation:
* energy of formation from the pure elements: 720 kJ/mol of formula units
* symmetry: F-43m (216)

a = 4.9789 Å, b = 4.9789 Å, c = 4.9789 Å
α = 60.00°, β = 60.00°, γ = 60.00°
With the nearest neighbours (Å) after each atom.
Fractional coordinates of all 6 atoms:
1 K 0.0000 0.0000 0.0000  12 Cr 2.92, 4 Fe 3.05
2 Cr 0.1239 0.6254 0.6254  6 Cr 2.48-2.50
3 Cr 0.6254 0.1239 0.6254  6 Cr 2.48-2.50
4 Cr 0.6254 0.6254 0.1239  6 Cr 2.48-2.50
5 Cr 0.6254 0.6254 0.6254  6 Cr 2.48-2.50
6 Fe 0.2500 0.2500 0.2500  12 Cr 2.92, 4 K 3.05



Here is a geometry-optimized KCrFe structure from the Alexandria database. Energies are from GGA-PBE.

Values from the calculation:
* energy of formation from the pure elements: 261 kJ/mol of formula units
* energy above the most stable polymorph in this dataset: 0 meV per atom
* symmetry: Imm2 (44)

a = 6.6551 Å, b = 6.6551 Å, c = 6.6551 Å
α = 154.87°, β = 148.41°, γ = 40.78°
With the nearest neighbours (Å) after each atom.
Fractional coordinates of all 3 atoms:
1 K 0.0000 0.0000 0.0000  2 K 2.90
2 Cr 0.7317 0.7317 0.0000  4 Fe 2.38
3 Fe 0.2750 0.2750 0.0000  4 Cr 2.38